Record 1
Entry from Alexandria via LeMat-Bulk: a relaxed Ti2CoSnBr crystal (PBE).

Output
uncorrected energy	-5.2972	eV/atom
symmetry	No. 123

```
data_Ti2CoSnBr
_chemical_formula_sum 'Ti2 Co1 Sn1 Br1'
_space_group_name_H-M_alt 'P 1'
_space_group_IT_number 1
_space_group_name_Hall 'P 1'
_cell_length_a 4.694
_cell_length_b 4.325
_cell_length_c 4.694
_cell_angle_alpha 90.00
_cell_angle_beta 90.00
_cell_angle_gamma 90.00
loop_
_atom_site_label
_atom_site_type_symbol
_atom_site_fract_x
_atom_site_fract_y
_atom_site_fract_z
Co1 Co 0.000 0.500 0.000
Sn1 Sn 0.500 0.500 0.500
Br1 Br 0.000 0.000 0.000
Ti1 Ti 0.000 0.000 0.500
Ti2 Ti 0.500 0.000 0.000
```

***

Record 2
Entry from Alexandria via LeMat-Bulk: a relaxed TlCoSn2Br crystal (PBE).

Output
uncorrected energy	-3.9961	eV/atom
symmetry	No. 123

```
data_TlCoSn2Br
_chemical_formula_sum 'Tl1 Co1 Sn2 Br1'
_space_group_name_H-M_alt 'P 1'
_space_group_IT_number 1
_space_group_name_Hall 'P 1'
_cell_length_a 4.935
_cell_length_b 4.935
_cell_length_c 5.289
_cell_angle_alpha 90.00
_cell_angle_beta 90.00
_cell_angle_gamma 90.00
loop_
_atom_site_label
_atom_site_type_symbol
_atom_site_fract_x
_atom_site_fract_y
_atom_site_fract_z
Tl1 Tl 0.000 0.000 0.500
Co1 Co 0.000 0.000 0.000
Sn1 Sn 0.000 0.500 0.000
Sn2 Sn 0.500 0.000 0.000
Br1 Br 0.500 0.500 0.500
```

***

Record 3
Entry from Alexandria via LeMat-Bulk: a relaxed SrCo4Br crystal (PBE).

Output
uncorrected energy	-4.8665	eV/atom
symmetry	No. 216

```
data_SrCo4Br
_chemical_formula_sum 'Sr1 Co4 Br1'
_space_group_name_H-M_alt 'P 1'
_space_group_IT_number 1
_space_group_name_Hall 'P 1'
_cell_length_a 5.190
_cell_length_b 5.190
_cell_length_c 5.190
_cell_angle_alpha 60.00
_cell_angle_beta 60.00
_cell_angle_gamma 60.00
loop_
_atom_site_label
_atom_site_type_symbol
_atom_site_fract_x
_atom_site_fract_y
_atom_site_fract_z
Sr1 Sr 0.750 0.750 0.750
Co1 Co 0.875 0.375 0.375
Co2 Co 0.375 0.375 0.875
Co3 Co 0.375 0.875 0.375
Co4 Co 0.375 0.375 0.375
Br1 Br 0.000 0.000 0.000
```

***

Record 4
Entry from Alexandria via LeMat-Bulk: a relaxed SrCoBr2 crystal (PBE).

Output
relative energy among the computed polymorphs	1.17	eV/f.u.
symmetry	No. 225

```
data_SrCoBr2
_chemical_formula_sum 'Sr1 Co1 Br2'
_space_group_name_H-M_alt 'P 1'
_space_group_IT_number 1
_space_group_name_Hall 'P 1'
_cell_length_a 5.294
_cell_length_b 5.294
_cell_length_c 5.294
_cell_angle_alpha 60.00
_cell_angle_beta 60.00
_cell_angle_gamma 60.00
loop_
_atom_site_label
_atom_site_type_symbol
_atom_site_fract_x
_atom_site_fract_y
_atom_site_fract_z
Sr1 Sr 0.500 0.500 0.500
Co1 Co 0.000 0.000 0.000
Br1 Br 0.250 0.250 0.250
Br2 Br 0.750 0.750 0.750
```

***

Record 5
Entry from Alexandria via LeMat-Bulk: a relaxed SrCoBr2 crystal (PBE).

Output
relative energy among the computed polymorphs	0.08	eV/f.u.
symmetry	No. 8

```
data_SrCoBr2
_chemical_formula_sum 'Sr1 Co1 Br2'
_space_group_name_H-M_alt 'P 1'
_space_group_IT_number 1
_space_group_name_Hall 'P 1'
_cell_length_a 5.975
_cell_length_b 5.975
_cell_length_c 5.191
_cell_angle_alpha 93.94
_cell_angle_beta 93.94
_cell_angle_gamma 38.84
loop_
_atom_site_label
_atom_site_type_symbol
_atom_site_fract_x
_atom_site_fract_y
_atom_site_fract_z
Br1 Br 0.972 0.972 0.210
Br2 Br 0.722 0.722 0.699
Co1 Co 0.557 0.557 0.392
Sr1 Sr 0.248 0.248 0.199
```

***

Record 6
Entry from Alexandria via LeMat-Bulk: a relaxed SrCo2Br crystal (PBE).

Output
relative energy among the computed polymorphs	2.03	eV/f.u.
symmetry	No. 71

```
data_SrCo2Br
_chemical_formula_sum 'Sr1 Co2 Br1'
_space_group_name_H-M_alt 'P 1'
_space_group_IT_number 1
_space_group_name_Hall 'P 1'
_cell_length_a 6.435
_cell_length_b 6.435
_cell_length_c 6.435
_cell_angle_alpha 146.36
_cell_angle_beta 141.44
_cell_angle_gamma 52.09
loop_
_atom_site_label
_atom_site_type_symbol
_atom_site_fract_x
_atom_site_fract_y
_atom_site_fract_z
Br1 Br 0.250 0.750 0.500
Co1 Co 0.001 0.001 0.000
Co2 Co 0.499 0.499 0.000
Sr1 Sr 0.750 0.250 0.500
```

***

Record 7
Entry from Alexandria via LeMat-Bulk: a relaxed SrCo2Br crystal (PBE).

Output
relative energy among the computed polymorphs	2.00	eV/f.u.
symmetry	No. 166

```
data_SrCo2Br
_chemical_formula_sum 'Sr1 Co2 Br1'
_space_group_name_H-M_alt 'P 1'
_space_group_IT_number 1
_space_group_name_Hall 'P 1'
_cell_length_a 5.847
_cell_length_b 5.847
_cell_length_c 5.847
_cell_angle_alpha 43.36
_cell_angle_beta 43.36
_cell_angle_gamma 43.36
loop_
_atom_site_label
_atom_site_type_symbol
_atom_site_fract_x
_atom_site_fract_y
_atom_site_fract_z
Br1 Br 0.750 0.750 0.750
Co1 Co 0.065 0.065 0.065
Co2 Co 0.435 0.435 0.435
Sr1 Sr 0.250 0.250 0.250
```

***

Record 8
Entry from Alexandria via LeMat-Bulk: a relaxed SrCoBr2 crystal (PBE).

Output
relative energy among the computed polymorphs	0.77	eV/f.u.
symmetry	No. 122

```
data_SrCoBr2
_chemical_formula_sum 'Sr2 Co2 Br4'
_space_group_name_H-M_alt 'P 1'
_space_group_IT_number 1
_space_group_name_Hall 'P 1'
_cell_length_a 5.773
_cell_length_b 5.773
_cell_length_c 8.136
_cell_angle_alpha 69.22
_cell_angle_beta 69.22
_cell_angle_gamma 90.00
loop_
_atom_site_label
_atom_site_type_symbol
_atom_site_fract_x
_atom_site_fract_y
_atom_site_fract_z
Sr1 Sr 0.000 0.000 0.000
Sr2 Sr 0.750 0.250 0.500
Co1 Co 0.500 0.500 0.000
Co2 Co 0.250 0.750 0.500
Br1 Br 0.541 0.125 0.250
Br2 Br 0.209 0.625 0.250
Br3 Br 0.375 0.459 0.750
Br4 Br 0.875 0.791 0.750
```

***

Record-wise DOS at the Fermi energy values, in states/eV/f.u.: 5.304 2.707 7.307 9.755 2.736 5.083 6.670 1.428
Record-wise magnetic moment values, in μB per formula unit: 0.0 0.0 6.9 2.9 1.0 3.6 1.8 1.1